Record 1
# PmTmBi PBE relaxed
data_PmTmBi
_symmetry_space_group_name_H-M 'C m c m'
_symmetry_Int_Tables_number 63
_symmetry_space_group_name_Hall '-C 2c 2'
_cell_length_a 4.036
_cell_length_b 12.436
_cell_length_c 8.004
_cell_angle_alpha 90.00
_cell_angle_beta 90.00
_cell_angle_gamma 90.00
loop_
_atom_site_label
_atom_site_type_symbol
_atom_site_fract_x
_atom_site_fract_y
_atom_site_fract_z
Pm1 Pm 0.000 0.161 0.250
Tm1 Tm 0.000 0.106 0.750
Bi1 Bi 0.000 0.500 0.000
# VASP energy   -4.5937 eV per atom

=====

Record 2
# PmTm3Bi2 PBE relaxed
data_PmTm3Bi2
_symmetry_space_group_name_H-M 'P -4 m 2'
_symmetry_Int_Tables_number 115
_cell_length_a 4.565
_cell_length_b 4.565
_cell_length_c 8.552
_cell_angle_alpha 90.00
_cell_angle_beta 90.00
_cell_angle_gamma 90.00
loop_
_symmetry_equiv_pos_as_xyz
'x,y,z'
'y,-x,-z'
'-x,-y,z'
'-y,x,-z'
'-x,y,z'
'-y,-x,-z'
'x,-y,z'
'y,x,-z'
loop_
_atom_site_label
_atom_site_type_symbol
_atom_site_fract_x
_atom_site_fract_y
_atom_site_fract_z
Pm1 Pm 0.000 0.000 0.000
Tm1 Tm 0.000 0.500 0.341
Tm2 Tm 0.500 0.500 0.000
Bi1 Bi 0.000 0.500 0.709
# VASP energy   -4.8607 eV per atom

=====

Record 3
# PmTmBi PBE relaxed
data_PmTmBi
_symmetry_space_group_name_H-M 'P 3 m 1'
_symmetry_Int_Tables_number 156
_cell_length_a 5.2098
_cell_length_b 5.2098
_cell_length_c 4.0474
_cell_angle_alpha 90.00
_cell_angle_beta 90.00
_cell_angle_gamma 120.00
loop_
_symmetry_equiv_pos_as_xyz
'x,y,z'
'-y,x-y,z'
'-x+y,-x,z'
'-y,-x,z'
'-x+y,y,z'
'x,x-y,z'
loop_
_atom_site_label
_atom_site_type_symbol
_atom_site_fract_x
_atom_site_fract_y
_atom_site_fract_z
Pm1 Pm 0.0000 0.0000 0.0000
Tm1 Tm 0.3333 0.6667 0.5295
Bi1 Bi 0.6667 0.3333 0.3751
# VASP energy   -4.6452 eV per atom

=====

Record 4
# Pm2Tm3Bi2 PBE relaxed
data_Pm2Tm3Bi2
_symmetry_space_group_name_H-M 'C 1 2/m 1'
_symmetry_Int_Tables_number 12
_cell_length_a 12.263
_cell_length_b 4.349
_cell_length_c 8.712
_cell_angle_alpha 90.00
_cell_angle_beta 109.81
_cell_angle_gamma 90.00
loop_
_symmetry_equiv_pos_as_xyz
'x,y,z'
'-x,-y,-z'
'-x,y,-z'
'x,-y,z'
'x+1/2,y+1/2,z'
'-x+1/2,-y+1/2,-z'
'-x+1/2,y+1/2,-z'
'x+1/2,-y+1/2,z'
loop_
_atom_site_label
_atom_site_type_symbol
_atom_site_fract_x
_atom_site_fract_y
_atom_site_fract_z
Pm1 Pm 0.127 0.000 0.280
Tm1 Tm 0.000 0.500 0.500
Tm2 Tm 0.124 0.500 0.945
Bi1 Bi 0.171 0.000 0.697
# VASP energy   -4.8417 eV per atom

=====

Record 5
# Pm2TmBi PBE relaxed
data_Pm2TmBi
_symmetry_space_group_name_H-M 'P 4/m m m'
_symmetry_Int_Tables_number 123
_symmetry_space_group_name_Hall '-P 4 2'
_cell_length_a 4.912
_cell_length_b 4.912
_cell_length_c 4.943
_cell_angle_alpha 90.00
_cell_angle_beta 90.00
_cell_angle_gamma 90.00
loop_
_atom_site_label
_atom_site_type_symbol
_atom_site_fract_x
_atom_site_fract_y
_atom_site_fract_z
Pm1 Pm 0.000 0.500 0.000
Tm1 Tm 0.000 0.000 0.500
Bi1 Bi 0.500 0.500 0.500
# VASP energy   -4.8383 eV per atom

=====

Record 6
# PmTm5Bi5 PBE relaxed
data_PmTm5Bi5
_symmetry_space_group_name_H-M 'C 1 2/m 1'
_symmetry_Int_Tables_number 12
_cell_length_a 13.826
_cell_length_b 6.254
_cell_length_c 8.802
_cell_angle_alpha 90.00
_cell_angle_beta 108.12
_cell_angle_gamma 90.00
loop_
_symmetry_equiv_pos_as_xyz
'x,y,z'
'-x,-y,-z'
'-x,y,-z'
'x,-y,z'
'x+1/2,y+1/2,z'
'-x+1/2,-y+1/2,-z'
'-x+1/2,y+1/2,-z'
'x+1/2,-y+1/2,z'
loop_
_atom_site_label
_atom_site_type_symbol
_atom_site_fract_x
_atom_site_fract_y
_atom_site_fract_z
Pm1 Pm 0.000 0.000 0.000
Tm1 Tm 0.000 0.000 0.500
Tm2 Tm 0.159 0.500 0.337
Tm3 Tm 0.165 0.500 0.831
Bi1 Bi 0.000 0.500 0.000
Bi2 Bi 0.170 0.000 0.342
Bi3 Bi 0.173 0.000 0.827
# VASP energy   -4.8293 eV per atom

=====

Record 7
# Pm3TmBi2 PBE relaxed
data_Pm3TmBi2
_symmetry_space_group_name_H-M 'P -4 m 2'
_symmetry_Int_Tables_number 115
_cell_length_a 4.612
_cell_length_b 4.612
_cell_length_c 8.869
_cell_angle_alpha 90.00
_cell_angle_beta 90.00
_cell_angle_gamma 90.00
loop_
_symmetry_equiv_pos_as_xyz
'x,y,z'
'y,-x,-z'
'-x,-y,z'
'-y,x,-z'
'-x,y,z'
'-y,-x,-z'
'x,-y,z'
'y,x,-z'
loop_
_atom_site_label
_atom_site_type_symbol
_atom_site_fract_x
_atom_site_fract_y
_atom_site_fract_z
Pm1 Pm 0.000 0.000 0.000
Pm2 Pm 0.000 0.500 0.650
Tm1 Tm 0.500 0.500 0.000
Bi1 Bi 0.000 0.500 0.279
# VASP energy   -5.0529 eV per atom

=====

Record 8
# Pm4TmBi2 PBE relaxed
data_Pm4TmBi2
_symmetry_space_group_name_H-M 'I 4/m m m'
_symmetry_Int_Tables_number 139
_symmetry_space_group_name_Hall '-I 4 2'
_cell_length_a 5.418
_cell_length_b 5.418
_cell_length_c 17.151
_cell_angle_alpha 90.00
_cell_angle_beta 90.00
_cell_angle_gamma 90.00
loop_
_atom_site_label
_atom_site_type_symbol
_atom_site_fract_x
_atom_site_fract_y
_atom_site_fract_z
Pm1 Pm 0.000 0.000 0.182
Pm2 Pm 0.000 0.500 0.000
Tm1 Tm 0.000 0.000 0.000
Bi1 Bi 0.000 0.000 0.366
# VASP energy   -4.2983 eV per atom

=====

Record 9
# Pm2Y3TmBi6 PBE relaxed
data_Pm2Y3TmBi6
_symmetry_space_group_name_H-M 'C 1 2/m 1'
_symmetry_Int_Tables_number 12
_cell_length_a 7.808
_cell_length_b 13.531
_cell_length_c 7.804
_cell_angle_alpha 90.00
_cell_angle_beta 109.50
_cell_angle_gamma 90.00
loop_
_symmetry_equiv_pos_as_xyz
'x,y,z'
'-x,-y,-z'
'-x,y,-z'
'x,-y,z'
'x+1/2,y+1/2,z'
'-x+1/2,-y+1/2,-z'
'-x+1/2,y+1/2,-z'
'x+1/2,-y+1/2,z'
loop_
_atom_site_label
_atom_site_type_symbol
_atom_site_fract_x
_atom_site_fract_y
_atom_site_fract_z
Pm1 Pm 0.000 0.166 0.000
Y1 Y 0.000 0.000 0.500
Y2 Y 0.000 0.330 0.500
Tm1 Tm 0.000 0.500 0.000
Bi1 Bi 0.242 0.500 0.745
Bi2 Bi 0.247 0.336 0.252
# VASP energy   -5.6101 eV per atom

=====

Record 10
# Pm3Y2TmBi6 PBE relaxed
data_Pm3Y2TmBi6
_symmetry_space_group_name_H-M 'C 1 2/m 1'
_symmetry_Int_Tables_number 12
_cell_length_a 19.705
_cell_length_b 4.526
_cell_length_c 9.042
_cell_angle_alpha 90.00
_cell_angle_beta 103.12
_cell_angle_gamma 90.00
loop_
_symmetry_equiv_pos_as_xyz
'x,y,z'
'-x,-y,-z'
'-x,y,-z'
'x,-y,z'
'x+1/2,y+1/2,z'
'-x+1/2,-y+1/2,-z'
'-x+1/2,y+1/2,-z'
'x+1/2,-y+1/2,z'
loop_
_atom_site_label
_atom_site_type_symbol
_atom_site_fract_x
_atom_site_fract_y
_atom_site_fract_z
Pm1 Pm 0.000 0.000 0.000
Pm2 Pm 0.167 0.500 0.333
Y1 Y 0.166 0.500 0.833
Tm1 Tm 0.000 0.000 0.500
Bi1 Bi 0.001 0.500 0.744
Bi2 Bi 0.164 0.000 0.586
Bi3 Bi 0.168 0.000 0.080
# VASP energy   -5.4764 eV per atom

=====

Record 11
# PmY2TmBi5 PBE relaxed
data_PmY2TmBi5
_symmetry_space_group_name_H-M 'P 4/m m m'
_symmetry_Int_Tables_number 123
_symmetry_space_group_name_Hall '-P 4 2'
_cell_length_a 5.357
_cell_length_b 5.357
_cell_length_c 12.036
_cell_angle_alpha 90.00
_cell_angle_beta 90.00
_cell_angle_gamma 90.00
loop_
_atom_site_label
_atom_site_type_symbol
_atom_site_fract_x
_atom_site_fract_y
_atom_site_fract_z
Pm1 Pm 0.000 0.000 0.000
Y1 Y 0.500 0.500 0.263
Tm1 Tm 0.000 0.000 0.500
Bi1 Bi 0.000 0.000 0.249
Bi2 Bi 0.000 0.500 0.500
Bi3 Bi 0.500 0.500 0.000
# VASP energy   -4.6608 eV per atom

=====

Record 12
# Pm2YTm3Bi6 PBE relaxed
data_Pm2YTm3Bi6
_symmetry_space_group_name_H-M 'C 1 2/m 1'
_symmetry_Int_Tables_number 12
_cell_length_a 19.565
_cell_length_b 4.493
_cell_length_c 8.979
_cell_angle_alpha 90.00
_cell_angle_beta 103.15
_cell_angle_gamma 90.00
loop_
_symmetry_equiv_pos_as_xyz
'x,y,z'
'-x,-y,-z'
'-x,y,-z'
'x,-y,z'
'x+1/2,y+1/2,z'
'-x+1/2,-y+1/2,-z'
'-x+1/2,y+1/2,-z'
'x+1/2,-y+1/2,z'
loop_
_atom_site_label
_atom_site_type_symbol
_atom_site_fract_x
_atom_site_fract_y
_atom_site_fract_z
Pm1 Pm 0.166 0.000 0.333
Y1 Y 0.000 0.500 0.000
Tm1 Tm 0.000 0.500 0.500
Tm2 Tm 0.168 0.000 0.834
Bi1 Bi 0.003 0.000 0.749
Bi2 Bi 0.165 0.500 0.589
Bi3 Bi 0.167 0.500 0.076
# VASP energy   -5.2402 eV per atom